DyHoMnCd: relaxed, PBE.

Cell and atoms, written as extended XYZ:
```
4
Lattice="0.0000 3.6390 3.6390 3.6390 0.0000 3.6390 3.6390 3.6390 0.0000" Properties=species:S:1:pos:R:3 pbc="T T T"
Dy 0.0000 0.0000 0.0000
Ho 3.6390 3.6390 3.6390
Mn 1.8195 1.8195 1.8195
Cd 5.4585 5.4585 5.4585
```

Results
theoretical density: 8.5 g/cm3
SG: No. 216
DFT formation energy: -1 kJ per mole of atoms